Entry 1:
Here is a geometry-optimized Ce3UH structure from the Alexandria database. Energies are from PBE.

The structure in CIF format:
```
data_Ce3UH
_space_group_name_H-M_alt 'P m -3 m'
_space_group_IT_number 221
_space_group_name_Hall '-P 4 2 3'
_cell_length_a 4.756
_cell_length_b 4.756
_cell_length_c 4.756
_cell_angle_alpha 90.00
_cell_angle_beta 90.00
_cell_angle_gamma 90.00
loop_
_atom_site_label
_atom_site_fract_x
_atom_site_fract_y
_atom_site_fract_z
Ce1 0.000 0.000 0.500
U1 0.500 0.500 0.500
H1 0.000 0.000 0.000
```

=====

Entry 2:
Here is a geometry-optimized In2CO structure from the Alexandria database. Energies are from PBE.

The structure in CIF format:
```
data_In2CO
_space_group_name_H-M_alt 'I -4 2 d'
_space_group_IT_number 122
_space_group_name_Hall 'I -4 2bw'
_cell_length_a 5.072
_cell_length_b 5.072
_cell_length_c 10.546
_cell_angle_alpha 90.00
_cell_angle_beta 90.00
_cell_angle_gamma 90.00
loop_
_atom_site_label
_atom_site_fract_x
_atom_site_fract_y
_atom_site_fract_z
In1 0.234 0.250 0.125
C1 0.000 0.000 0.000
O1 0.000 0.000 0.500
```

* ΔE_f (raw): -125 meV/atom
* energy above the lowest structure with this stoichiometry: 0 meV/atom

=====

Entry 3:
Here is a geometry-optimized Mn3Fe4 structure from the Alexandria database. Energies are from PBE.

The structure in CIF format:
```
data_Mn3Fe4
_space_group_name_H-M_alt 'P 6/m m m'
_space_group_IT_number 191
_space_group_name_Hall '-P 6 2'
_cell_length_a 4.5097
_cell_length_b 4.5097
_cell_length_c 4.4872
_cell_angle_alpha 90.00
_cell_angle_beta 90.00
_cell_angle_gamma 120.00
loop_
_atom_site_label
_atom_site_fract_x
_atom_site_fract_y
_atom_site_fract_z
Mn1 0.0000 0.5000 0.0000
Fe1 0.0000 0.0000 0.2606
Fe2 0.3333 0.6667 0.5000
```

* energy above the lowest structure with this stoichiometry: 19 meV/atom

=====

Entry 4:
Here is a geometry-optimized LaSi3Rh9 structure from the Alexandria database. Energies are from PBE.

The structure in CIF format:
```
data_LaSi3Rh9
_space_group_name_H-M_alt 'C 1 2/m 1'
_space_group_IT_number 12
_cell_length_a 5.104
_cell_length_b 12.867
_cell_length_c 6.309
_cell_angle_alpha 90.00
_cell_angle_beta 108.43
_cell_angle_gamma 90.00
loop_
_space_group_symop_operation_xyz
'x,y,z'
'-x,-y,-z'
'-x,y,-z'
'x,-y,z'
'x+1/2,y+1/2,z'
'-x+1/2,-y+1/2,-z'
'-x+1/2,y+1/2,-z'
'x+1/2,-y+1/2,z'
loop_
_atom_site_label
_atom_site_fract_x
_atom_site_fract_y
_atom_site_fract_z
La1 0.000 0.000 0.000
Si1 0.000 0.500 0.500
Si2 0.250 0.250 0.000
Rh1 0.000 0.000 0.500
Rh2 0.095 0.386 0.230
Rh3 0.131 0.182 0.325
```

* ΔE_f (raw): -563 meV/atom

=====

Entry 5:
Here is a geometry-optimized CeThZn4 structure from the Alexandria database. Energies are from PBE.

The structure in CIF format:
```
data_CeThZn4
_space_group_name_H-M_alt 'F -4 3 m'
_space_group_IT_number 216
_space_group_name_Hall 'F -4 2 3'
_cell_length_a 7.845
_cell_length_b 7.845
_cell_length_c 7.845
_cell_angle_alpha 90.00
_cell_angle_beta 90.00
_cell_angle_gamma 90.00
loop_
_atom_site_label
_atom_site_fract_x
_atom_site_fract_y
_atom_site_fract_z
Ce1 0.000 0.000 0.000
Th1 0.250 0.250 0.750
Zn1 0.126 0.126 0.374
```

* energy above the lowest structure with this stoichiometry: 35 meV/atom

=====

Entry 6:
Here is a geometry-optimized Li4CeDy3S8 structure from the Alexandria database. Energies are from PBE.

The structure in CIF format:
```
data_Li4CeDy3S8
_space_group_name_H-M_alt 'R -3 m'
_space_group_IT_number 166
_space_group_name_Hall '-R 3 2"'
_cell_length_a 7.8996
_cell_length_b 7.8996
_cell_length_c 18.5337
_cell_angle_alpha 90.00
_cell_angle_beta 90.00
_cell_angle_gamma 120.00
loop_
_atom_site_label
_atom_site_fract_x
_atom_site_fract_y
_atom_site_fract_z
Li1 0.0000 0.0000 0.0000
Li2 0.0000 0.5000 0.0000
Ce1 0.0000 0.0000 0.5000
Dy1 0.0000 0.5000 0.5000
S1 0.0000 0.0000 0.2500
S2 0.0067 0.5033 0.7491
```

* ΔE_f (raw): -1812 meV/atom

=====

Entry 7:
Here is a geometry-optimized CeGa6Pd12 structure from the Alexandria database. Energies are from PBE.

The structure in CIF format:
```
data_CeGa6Pd12
_space_group_name_H-M_alt 'R -3 m'
_space_group_IT_number 166
_space_group_name_Hall '-R 3 2"'
_cell_length_a 11.5537
_cell_length_b 11.5537
_cell_length_c 8.4137
_cell_angle_alpha 90.00
_cell_angle_beta 90.00
_cell_angle_gamma 120.00
loop_
_atom_site_label
_atom_site_fract_x
_atom_site_fract_y
_atom_site_fract_z
Ce1 0.0000 0.0000 0.0000
Ga1 0.0412 0.5206 0.2553
Pd1 0.0000 0.3787 0.5000
Pd2 0.0828 0.1656 0.3260
```

=====

Entry 8:
Here is a geometry-optimized InGaW3 structure from the Alexandria database. Energies are from PBE.

The structure in CIF format:
```
data_InGaW3
_space_group_name_H-M_alt 'P m -3 m'
_space_group_IT_number 221
_space_group_name_Hall '-P 4 2 3'
_cell_length_a 4.628
_cell_length_b 4.628
_cell_length_c 4.628
_cell_angle_alpha 90.00
_cell_angle_beta 90.00
_cell_angle_gamma 90.00
loop_
_atom_site_label
_atom_site_fract_x
_atom_site_fract_y
_atom_site_fract_z
In1 0.000 0.000 0.000
Ga1 0.500 0.500 0.500
W1 0.000 0.500 0.500
```

* energy above the lowest structure with this stoichiometry: 0 meV/atom

=====

no.,magnetization (μB per atom),total DFT energy (no corrections) (eV per atom)
1,0.56,-6.425
2,0.00,-5.040
3,0.88,-8.656
4,0.00,-7.283
5,0.16,-3.313
6,0.06,-5.588
7,0.06,-5.116
8,0.00,-7.199